No. 1
SiTc2Rh | PBE | relaxed

abc: 2.7593 4.0089 5.1827
angles: 90.00 101.92 90.00
Space group P2/m (No. 10)
Symmetry-distinct sites (fractional):
Si 0.0000 0.0000 0.0000 x1
Tc 0.3965 0.5000 0.2356 x2
Rh 0.0000 0.0000 0.5000 x1

Computed properties:
Its volume is 56 Å³ per cell.

---

No. 2
SiTc2Rh | PBE | relaxed

abc: 3.8396 3.8396 7.5600
angles: 90.00 90.00 90.00
Space group I-4m2 (No. 119)
Symmetry-distinct sites (fractional):
Si 0.0000 0.0000 0.0000 x2
Tc 0.0000 0.0000 0.5000 x2
Tc 0.0000 0.5000 0.7500 x2
Rh 0.0000 0.5000 0.2500 x2

Computed properties:
Its volume is 111 Å³ per cell.

---

No. 3
Si2TcRh | PBE | relaxed

abc: 2.7258 2.7258 7.5185
angles: 90.00 90.00 90.00
Space group P4mm (No. 99)
Symmetry-distinct sites (fractional):
Si 0.0000 0.0000 0.0000 x1
Si 0.5000 0.5000 0.2803 x1
Tc 0.0000 0.0000 0.5162 x1
Rh 0.5000 0.5000 0.7765 x1

Computed properties:
Its volume is 56 Å³ per cell.

---

| no. | raw formation energy (eV/atom) |
| --- | --- |
| 1 | -0.1537 |
| 2 | -0.1907 |
| 3 | -0.0627 |